Here is SmTm2Ag4Ge4 after structural relaxation from OQMD via LeMat-Bulk. Energies are from PBE-GGA.

The value obtained for the calculated total energy is -49.19 eV per formula unit. The calculation puts the size of the total moment at 0.0 μB/f.u.

```
data_SmTm2Ag4Ge4
_symmetry_space_group_name_H-M 'I m m m'
_symmetry_Int_Tables_number 71
_symmetry_space_group_name_Hall '-I 2 2'
_cell_length_a 4.296
_cell_length_b 7.183
_cell_length_c 14.494
_cell_angle_alpha 90.00
_cell_angle_beta 90.00
_cell_angle_gamma 90.00
loop_
_atom_site_label
_atom_site_type_symbol
_atom_site_fract_x
_atom_site_fract_y
_atom_site_fract_z
Sm1 Sm 0.000 0.000 0.000
Tm1 Tm 0.000 0.500 0.125
Ag1 Ag 0.000 0.302 0.331
Ge1 Ge 0.000 0.000 0.219
Ge2 Ge 0.000 0.180 0.500
```



Here is Pr2YMg3Hg2Au after structural relaxation from OQMD via LeMat-Bulk. Energies are from PBE-GGA.

The value obtained for the calculated total energy is -28.93 eV per formula unit. The calculation puts the size of the total moment at 0.0 μB/f.u.

```
data_Pr2YMg3Hg2Au
_symmetry_space_group_name_H-M 'A m m 2'
_symmetry_Int_Tables_number 38
_cell_length_a 4.273
_cell_length_b 13.620
_cell_length_c 7.869
_cell_angle_alpha 90.00
_cell_angle_beta 90.00
_cell_angle_gamma 90.00
loop_
_symmetry_equiv_pos_as_xyz
'x,y,z'
'-x,-y,z'
'-x,y,z'
'x,-y,z'
'x,y+1/2,z+1/2'
'-x,-y+1/2,z+1/2'
'-x,y+1/2,z+1/2'
'x,-y+1/2,z+1/2'
loop_
_atom_site_label
_atom_site_type_symbol
_atom_site_fract_x
_atom_site_fract_y
_atom_site_fract_z
Pr1 Pr 0.000 0.203 0.000
Y1 Y 0.000 0.000 0.606
Mg1 Mg 0.500 0.000 0.963
Mg2 Mg 0.500 0.118 0.325
Hg1 Hg 0.500 0.162 0.700
Au1 Au 0.000 0.000 0.208
```



Here is ScTe2PbAuS after structural relaxation from OQMD via LeMat-Bulk. Energies are from PBE-GGA.

The value obtained for the calculated total energy is -27.67 eV per formula unit. The calculation puts the size of the total moment at 0.0 μB/f.u.

```
data_ScTe2PbAuS
_symmetry_space_group_name_H-M 'C m c m'
_symmetry_Int_Tables_number 63
_symmetry_space_group_name_Hall '-C 2c 2'
_cell_length_a 4.215
_cell_length_b 14.738
_cell_length_c 10.066
_cell_angle_alpha 90.00
_cell_angle_beta 90.00
_cell_angle_gamma 90.00
loop_
_atom_site_label
_atom_site_type_symbol
_atom_site_fract_x
_atom_site_fract_y
_atom_site_fract_z
Sc1 Sc 0.000 0.000 0.000
Te1 Te 0.000 0.355 0.044
Pb1 Pb 0.000 0.251 0.750
Au1 Au 0.000 0.481 0.250
S1 S 0.000 0.072 0.250
```



Here is SmZn2CuPd2 after structural relaxation from OQMD via LeMat-Bulk. Energies are from PBE-GGA.

Its energy of formation is -0.576 eV/atom. The calculation puts the size of the total moment at 0.0 μB/f.u.

```
data_SmZn2CuPd2
_symmetry_space_group_name_H-M 'C m m m'
_symmetry_Int_Tables_number 65
_symmetry_space_group_name_Hall '-C 2 2'
_cell_length_a 5.295
_cell_length_b 9.155
_cell_length_c 4.306
_cell_angle_alpha 90.00
_cell_angle_beta 90.00
_cell_angle_gamma 90.00
loop_
_atom_site_label
_atom_site_type_symbol
_atom_site_fract_x
_atom_site_fract_y
_atom_site_fract_z
Sm1 Sm 0.000 0.000 0.000
Zn1 Zn 0.250 0.250 0.500
Cu1 Cu 0.000 0.500 0.500
Pd1 Pd 0.000 0.333 0.000
```



Here is GaCo2Te4 after structural relaxation from OQMD via LeMat-Bulk. Energies are from PBE-GGA.

The value obtained for the calculated total energy is -30.40 eV per formula unit. The calculation puts the size of the total moment at 0.9 μB/f.u.

```
data_GaCo2Te4
_symmetry_space_group_name_H-M 'P 41 2 2'
_symmetry_Int_Tables_number 91
_cell_length_a 7.757
_cell_length_b 7.757
_cell_length_c 10.878
_cell_angle_alpha 90.00
_cell_angle_beta 90.00
_cell_angle_gamma 90.00
loop_
_symmetry_equiv_pos_as_xyz
'x,y,z'
'-y,x,z+1/4'
'-x,-y,z+1/2'
'y,-x,z+3/4'
'x,-y,-z+1/2'
'-y,-x,-z+1/4'
'-x,y,-z'
'y,x,-z+3/4'
loop_
_atom_site_label
_atom_site_type_symbol
_atom_site_fract_x
_atom_site_fract_y
_atom_site_fract_z
Ga1 Ga 0.000 0.250 0.000
Co1 Co 0.253 0.500 0.750
Co2 Co 0.257 0.257 0.375
Te1 Te 0.013 0.271 0.742
Te2 Te 0.270 0.493 0.987
```



Here is SrSn2Pt2 after structural relaxation from OQMD via LeMat-Bulk. Energies are from PBE-GGA.

The value obtained for the calculated total energy is -25.28 eV per formula unit. The calculation puts the size of the total moment at 0.0 μB/f.u.

```
data_SrSn2Pt2
_symmetry_space_group_name_H-M 'I 4/m m m'
_symmetry_Int_Tables_number 139
_symmetry_space_group_name_Hall '-I 4 2'
_cell_length_a 4.723
_cell_length_b 4.723
_cell_length_c 10.879
_cell_angle_alpha 90.00
_cell_angle_beta 90.00
_cell_angle_gamma 90.00
loop_
_atom_site_label
_atom_site_type_symbol
_atom_site_fract_x
_atom_site_fract_y
_atom_site_fract_z
Sr1 Sr 0.000 0.000 0.000
Sn1 Sn 0.000 0.000 0.364
Pt1 Pt 0.000 0.500 0.250
```



Here is TbNdPa after structural relaxation from OQMD via LeMat-Bulk. Energies are from PBE-GGA.

Its energy of formation is 1.089 eV/atom. The calculation puts the size of the total moment at 1.7 μB/f.u. The energy above the lowest structure with this stoichiometry is 0.000 eV per atom.

```
data_TbNdPa
_symmetry_space_group_name_H-M 'F -4 3 m'
_symmetry_Int_Tables_number 216
_symmetry_space_group_name_Hall 'F -4 2 3'
_cell_length_a 7.363
_cell_length_b 7.363
_cell_length_c 7.363
_cell_angle_alpha 90.00
_cell_angle_beta 90.00
_cell_angle_gamma 90.00
loop_
_atom_site_label
_atom_site_type_symbol
_atom_site_fract_x
_atom_site_fract_y
_atom_site_fract_z
Tb1 Tb 0.000 0.000 0.000
Nd1 Nd 0.250 0.250 0.250
Pa1 Pa 0.000 0.000 0.500
```



Here is LiIr2Pd after structural relaxation from OQMD via LeMat-Bulk. Energies are from PBE-GGA.

The calculation puts the size of the total moment at 0.0 μB/f.u. The energy above the lowest structure with this stoichiometry is 0.000 eV per atom.

```
data_LiIr2Pd
_symmetry_space_group_name_H-M 'I m m 2'
_symmetry_Int_Tables_number 44
_cell_length_a 2.691
_cell_length_b 8.987
_cell_length_c 4.663
_cell_angle_alpha 90.00
_cell_angle_beta 90.00
_cell_angle_gamma 90.00
loop_
_symmetry_equiv_pos_as_xyz
'x,y,z'
'-x,-y,z'
'-x,y,z'
'x,-y,z'
'x+1/2,y+1/2,z+1/2'
'-x+1/2,-y+1/2,z+1/2'
'-x+1/2,y+1/2,z+1/2'
'x+1/2,-y+1/2,z+1/2'
loop_
_atom_site_label
_atom_site_type_symbol
_atom_site_fract_x
_atom_site_fract_y
_atom_site_fract_z
Li1 Li 0.000 0.000 0.000
Ir1 Ir 0.000 0.245 0.320
Pd1 Pd 0.000 0.500 0.007
```



Among the records above, which one has the highest size of the total moment? TbNdPa



Which formula does entry 3 have? ScTe2PbAuS



Repeat the eighth record exactly.
Here is LiIr2Pd after structural relaxation from OQMD via LeMat-Bulk. Energies are from PBE-GGA.

The calculation puts the size of the total moment at 0.0 μB/f.u. The energy above the lowest structure with this stoichiometry is 0.000 eV per atom.

```
data_LiIr2Pd
_symmetry_space_group_name_H-M 'I m m 2'
_symmetry_Int_Tables_number 44
_cell_length_a 2.691
_cell_length_b 8.987
_cell_length_c 4.663
_cell_angle_alpha 90.00
_cell_angle_beta 90.00
_cell_angle_gamma 90.00
loop_
_symmetry_equiv_pos_as_xyz
'x,y,z'
'-x,-y,z'
'-x,y,z'
'x,-y,z'
'x+1/2,y+1/2,z+1/2'
'-x+1/2,-y+1/2,z+1/2'
'-x+1/2,y+1/2,z+1/2'
'x+1/2,-y+1/2,z+1/2'
loop_
_atom_site_label
_atom_site_type_symbol
_atom_site_fract_x
_atom_site_fract_y
_atom_site_fract_z
Li1 Li 0.000 0.000 0.000
Ir1 Ir 0.000 0.245 0.320
Pd1 Pd 0.000 0.500 0.007
```